An optimized crystal structure of Tm7Cd2Co2, computed with PBE-GGA.

Cell: 6.6029 6.9687 6.6029 Å, 90.00 108.91 90.00°
Atoms (fractional coordinates):
Co 0.2916 0.0000 0.7084
Tm 0.9998 0.2425 0.5003
Tm 0.4997 0.2425 0.0002
Co 0.7084 0.0000 0.2916
Tm 0.0002 0.7575 0.4997
Cd 0.1801 0.5000 0.1801
Cd 0.8199 0.5000 0.8199
Tm 0.5002 0.7676 0.4998
Tm 0.4998 0.2324 0.5002
Tm 0.0000 0.0000 0.0000
Tm 0.5003 0.7575 0.9998

Output
The energy of formation from the pure elements is -128 meV per atom. For the magnetization, the calculation gives 0.0 Bohr magnetons per cell. The value obtained for the energy above the most stable polymorph in this dataset is 0.88 eV per formula unit. The calculation puts the density of states at the Fermi level at 10.36 states/eV/cell. The value obtained for the total energy is -4.431 eV per atom. Its space group is Cmmm, No. 65.

An optimized crystal structure of Tm8Cd2Co, computed with PBE-GGA.

Cell: 6.0623 8.6462 8.6462 Å, 128.50 103.68 103.68°
Atoms (fractional coordinates):
Tm 0.6547 0.1533 0.3704
Tm 0.7689 0.7358 0.7358
Cd 0.4852 0.2950 0.7219
Tm 0.9890 0.1976 0.8094
Tm 0.1609 0.2831 0.2831
Cd 0.4852 0.7219 0.2950
Tm 0.2723 0.6238 0.8398
Co 0.2676 0.0038 0.0038
Tm 0.2723 0.8398 0.6238
Tm 0.6547 0.3704 0.1533
Tm 0.9890 0.8094 0.1976

Output
The energy of formation from the pure elements is -122 meV per atom. For the magnetization, the calculation gives 0.0 Bohr magnetons per cell. The value obtained for the energy above the most stable polymorph in this dataset is 0.12 eV per formula unit. The calculation puts the density of states at the Fermi level at 11.84 states/eV/cell. The value obtained for the total energy is -4.187 eV per atom. Its space group is Cm, No. 8.

An optimized crystal structure of TmCdCo, computed with PBE-GGA.

Cell: 3.5832 3.5832 12.1489 Å, 81.52 81.52 60.00°
Atoms (fractional coordinates):
Tm 0.6008 0.6008 0.1976
Co 0.6776 0.6776 0.9673
Cd 0.1981 0.1981 0.4057
Cd 0.8019 0.8019 0.5943
Tm 0.3992 0.3992 0.8024
Co 0.3224 0.3224 0.0327

Output
The energy of formation from the pure elements is 35 meV per atom. For the magnetization, the calculation gives 1.9 Bohr magnetons per cell. The calculation puts the density of states at the Fermi level at 5.31 states/eV/cell. The value obtained for the total energy is -4.129 eV per atom. Its space group is R-3m, No. 166.

- energy of formation from the pure elements of number 3 (TmCdCo)?
  35 meV per atom

- Which of these has the highest magnetization?
  TmCdCo

Repeat the second record exactly.
An optimized crystal structure of Tm8Cd2Co, computed with PBE-GGA.

Cell: 6.0623 8.6462 8.6462 Å, 128.50 103.68 103.68°
Atoms (fractional coordinates):
Tm 0.6547 0.1533 0.3704
Tm 0.7689 0.7358 0.7358
Cd 0.4852 0.2950 0.7219
Tm 0.9890 0.1976 0.8094
Tm 0.1609 0.2831 0.2831
Cd 0.4852 0.7219 0.2950
Tm 0.2723 0.6238 0.8398
Co 0.2676 0.0038 0.0038
Tm 0.2723 0.8398 0.6238
Tm 0.6547 0.3704 0.1533
Tm 0.9890 0.8094 0.1976

Output
The energy of formation from the pure elements is -122 meV per atom. For the magnetization, the calculation gives 0.0 Bohr magnetons per cell. The value obtained for the energy above the most stable polymorph in this dataset is 0.12 eV per formula unit. The calculation puts the density of states at the Fermi level at 11.84 states/eV/cell. The value obtained for the total energy is -4.187 eV per atom. Its space group is Cm, No. 8.